{
  "formula": "Rb3HoPu3Te8",
  "functional": "PBE-GGA",
  "state": "optimized geometry",
  "total_energy_ry_per_atom": -0.4527,
  "raw_formation_energy_ev_per_atom": -1.118,
  "m_tot_mub_per_fu": 14.0,
  "lattice_angstrom": [[-5.6485, -5.8689, 3.8656], [1.5669, -0.4233, -8.8681], [7.4405, -3.1800, 6.0443]],
  "species": ["Rb", "Rb", "Rb", "Pu", "Pu", "Pu", "Te", "Te", "Te", "Te", "Te", "Te", "Te", "Te", "Ho"],
  "frac_coords": [[0.0000, 0.5000, 0.0000], [0.5000, 0.5000, 0.0000], [0.0000, 0.0000, 0.0000], [0.0000, 0.5000, 0.5000], [0.5000, 0.5000, 0.5000], [0.5000, 0.0000, 0.5000], [0.7684, 0.0360, 0.3041], [0.7327, 0.4654, 0.6982], [0.7684, 0.5367, 0.3042], [0.7324, 0.9640, 0.6959], [0.2316, 0.9640, 0.6959], [0.2676, 0.0360, 0.3041], [0.2673, 0.5346, 0.3018], [0.2316, 0.4633, 0.6958], [0.0000, 0.0000, 0.5000]]
}